Arrangement P

The following is a PBE calculation of a relaxed TlSb2Ru crystal, from Alexandria via LeMat-Bulk.

Properties
Spin magnetization, μB per atom: 0.11

The structure in POSCAR format:
```
TlSb2Ru
1.0
3.821 0.000 0.000
0.000 4.761 0.000
0.000 0.000 5.013
Tl Sb Ru
1 2 1
direct
0.000 0.000 0.000
0.000 0.500 0.500
0.500 0.000 0.500
0.500 0.500 0.000
```

Arrangement Q

The following is a PBE calculation of a relaxed TlSb2Ru crystal, from Alexandria via LeMat-Bulk.

Properties
Spin magnetization, μB per atom: 0.00

The structure in POSCAR format:
```
TlSb2Ru
1.0
3.509 -2.029 0.000
3.509 2.029 0.000
-2.346 0.000 7.334
Tl Sb Ru
1 2 1
direct
0.000 0.000 0.000
0.225 0.225 0.675
0.775 0.775 0.325
0.500 0.500 0.500
```

Arrangement R

The following is a PBE calculation of a relaxed TlSb2Ru crystal, from Alexandria via LeMat-Bulk.

Properties
Spin magnetization, μB per atom: 0.00

The structure in POSCAR format:
```
TlSb2Ru
1.0
-1.620 1.649 9.395
1.620 -1.649 9.395
1.620 1.649 -9.395
Tl Sb Ru
1 2 1
direct
0.000 0.000 0.000
0.350 0.350 0.000
0.660 0.160 0.500
0.236 0.736 0.500
```

Arrangement S

The following is a PBE calculation of a relaxed TlSb2Ru crystal, from Alexandria via LeMat-Bulk.

Properties
Spin magnetization, μB per atom: 0.00

The structure in POSCAR format:
```
TlSb2Ru
1.0
0.000 3.548 3.548
3.548 0.000 3.548
3.548 3.548 0.000
Tl Sb Ru
1 2 1
direct
0.000 0.000 0.000
0.250 0.250 0.250
0.750 0.750 0.750
0.500 0.500 0.500
```

In terms of stability, arrangement R leads; the second structure lies 2.9 kJ/mol of atoms higher.

Arrangement P

The following is a PBE calculation of a relaxed TlSb2Ru crystal, from Alexandria via LeMat-Bulk.

Properties
Spin magnetization, μB per atom: 0.00

The structure in POSCAR format:
```
TlSb2Ru
1.0
-2.303 2.303 4.252
2.303 -2.303 4.252
2.303 2.303 -4.252
Tl Sb Ru
1 2 1
direct
0.000 0.000 0.000
0.500 0.500 0.000
0.750 0.250 0.500
0.250 0.750 0.500
```

Arrangement Q

The following is a PBE calculation of a relaxed TlSb2Ru crystal, from Alexandria via LeMat-Bulk.

Properties
Spin magnetization, μB per atom: 0.00

The structure in POSCAR format:
```
TlSb2Ru
1.0
4.590 -1.716 0.000
4.590 1.716 0.000
-2.136 0.000 6.564
Tl Sb Ru
1 2 1
direct
0.000 0.000 0.000
0.652 0.652 0.657
0.800 0.800 0.297
0.354 0.354 0.600
```

In terms of stability, arrangement Q leads; the second structure lies 49.5 kJ/mol of atoms higher.

Arrangement P

The following is a PBE calculation of a relaxed TlSb2Ru crystal, from Alexandria via LeMat-Bulk.

Properties
Spin magnetization, μB per atom: 0.00

The structure in POSCAR format:
```
TlSb2Ru
1.0
3.219 0.000 0.000
0.000 3.219 0.000
0.000 0.000 8.998
Tl Sb Ru
1 2 1
direct
0.000 0.000 0.000
0.000 0.000 0.388
0.500 0.500 0.696
0.500 0.500 0.223
```

Arrangement Q

The following is a PBE calculation of a relaxed TlSb2Ru crystal, from Alexandria via LeMat-Bulk.

Properties
Spin magnetization, μB per atom: 0.00

The structure in POSCAR format:
```
TlSb2Ru
1.0
0.000 3.556 3.556
3.556 0.000 3.556
3.556 3.556 0.000
Tl Sb Ru
1 2 1
direct
0.000 0.000 0.000
0.500 0.500 0.500
0.750 0.750 0.750
0.250 0.250 0.250
```

In terms of stability, arrangement P leads; the second structure lies 37.3 kJ/mol of atoms higher.

Arrangement P

The following is a PBE calculation of a relaxed TlSb2Ru crystal, from Alexandria via LeMat-Bulk.

Properties
Spin magnetization, μB per atom: 0.19

The structure in POSCAR format:
```
TlSb2Ru
1.0
3.296 0.000 0.000
0.000 3.294 0.000
-0.095 0.000 8.718
Tl Sb Ru
1 2 1
direct
0.000 0.000 0.000
0.495 0.500 0.313
0.505 0.500 0.687
0.000 0.000 0.500
```

Arrangement Q

The following is a PBE calculation of a relaxed TlSb2Ru crystal, from Alexandria via LeMat-Bulk.

Properties
Spin magnetization, μB per atom: 0.00

The structure in POSCAR format:
```
TlSb2Ru
1.0
4.092 0.000 0.000
0.000 4.684 0.000
-1.868 0.000 5.209
Tl Sb Ru
1 2 1
direct
0.000 0.000 0.000
0.274 0.500 0.553
0.699 0.000 0.442
0.622 0.500 0.204
```

In terms of stability, arrangement P leads; the second structure lies 32.3 kJ/mol of atoms higher.

Arrangement P

The following is a PBE calculation of a relaxed TlSb3Ru crystal, from Alexandria via LeMat-Bulk.

Properties
Spin magnetization, μB per atom: 0.00

The structure in POSCAR format:
```
TlSb3Ru
1.0
5.220 0.000 0.000
0.000 5.220 0.000
0.000 0.000 5.220
Tl Sb Ru
1 3 1
direct
0.000 0.000 0.000
0.000 0.500 0.500
0.500 0.000 0.500
0.500 0.500 0.000
0.500 0.500 0.500
```

Arrangement Q

The following is a PBE calculation of a relaxed TlSb3Ru crystal, from Alexandria via LeMat-Bulk.

Properties
Spin magnetization, μB per atom: 0.44

The structure in POSCAR format:
```
TlSb3Ru
1.0
5.588 0.000 0.000
0.000 5.588 0.000
0.000 0.000 5.588
Tl Sb Ru
1 3 1
direct
0.000 0.000 0.000
0.000 0.000 0.500
0.000 0.500 0.000
0.500 0.000 0.000
0.500 0.500 0.500
```

In terms of stability, arrangement P leads; the second structure lies 134.0 kJ/mol of atoms higher.

Arrangement P

The following is a PBE calculation of a relaxed Tl2SbRu crystal, from Alexandria via LeMat-Bulk.

Properties
Spin magnetization, μB per atom: 0.00

The structure in POSCAR format:
```
Tl2SbRu
1.0
2.918 -5.610 0.000
2.918 5.610 0.000
-2.031 0.000 2.849
Tl Sb Ru
2 1 1
direct
0.000 0.500 0.000
0.500 0.000 0.000
0.000 0.000 0.500
0.500 0.500 0.500
```

Arrangement Q

The following is a PBE calculation of a relaxed Tl2SbRu crystal, from Alexandria via LeMat-Bulk.

Properties
Spin magnetization, μB per atom: 0.06

The structure in POSCAR format:
```
Tl2SbRu
1.0
4.686 0.000 0.000
0.000 3.583 0.000
-2.274 0.000 5.559
Tl Sb Ru
2 1 1
direct
0.000 0.000 0.000
0.500 0.500 0.000
0.000 0.500 0.500
0.500 0.000 0.500
```

Arrangement R

The following is a PBE calculation of a relaxed Tl2SbRu crystal, from Alexandria via LeMat-Bulk.

Properties
Spin magnetization, μB per atom: 0.00

The structure in POSCAR format:
```
Tl2SbRu
1.0
3.265 0.000 0.000
0.000 3.265 0.000
0.000 0.000 9.072
Tl Sb Ru
2 1 1
direct
0.000 0.000 0.000
0.500 0.500 0.301
0.500 0.500 0.680
0.000 0.000 0.521
```

In terms of stability, arrangement R leads; the second structure lies 45.6 kJ/mol of atoms higher.

Arrangement P

The following is a PBE calculation of a relaxed Tl2SbRu crystal, from Alexandria via LeMat-Bulk.

Properties
Spin magnetization, μB per atom: 0.05

The structure in POSCAR format:
```
Tl2SbRu
1.0
-2.378 2.378 4.053
2.378 -2.378 4.053
2.378 2.378 -4.053
Tl Sb Ru
2 1 1
direct
0.000 0.000 0.000
0.750 0.250 0.500
0.500 0.500 0.000
0.250 0.750 0.500
```

Arrangement Q

The following is a PBE calculation of a relaxed Tl2SbRu crystal, from Alexandria via LeMat-Bulk.

Properties
Spin magnetization, μB per atom: 0.00

The structure in POSCAR format:
```
Tl2SbRu
1.0
1.725 0.996 9.701
-1.725 0.996 9.701
0.000 -1.992 9.701
Tl Sb Ru
2 1 1
direct
0.000 0.000 0.000
0.234 0.234 0.234
0.464 0.464 0.464
0.739 0.739 0.739
```

Arrangement R

The following is a PBE calculation of a relaxed Tl2SbRu crystal, from Alexandria via LeMat-Bulk.

Properties
Spin magnetization, μB per atom: 0.34

The structure in POSCAR format:
```
Tl2SbRu
1.0
-2.115 2.115 5.322
2.115 -2.115 5.322
2.115 2.115 -5.322
Tl Sb Ru
2 1 1
direct
0.250 0.750 0.500
0.750 0.250 0.500
0.000 0.000 0.000
0.500 0.500 0.000
```

In terms of stability, arrangement Q leads; the second structure lies 41.2 kJ/mol of atoms higher.

Arrangement P

The following is a PBE calculation of a relaxed Tl2SbRu crystal, from Alexandria via LeMat-Bulk.

Properties
Spin magnetization, μB per atom: 0.25

The structure in POSCAR format:
```
Tl2SbRu
1.0
-3.386 3.386 5.875
3.386 -3.386 5.875
3.386 3.386 -5.875
Tl Sb Ru
4 2 2
direct
0.086 0.625 0.961
0.375 0.336 0.461
0.664 0.125 0.039
0.875 0.914 0.539
0.250 0.750 0.500
0.500 0.500 0.000
0.000 0.000 0.000
0.750 0.250 0.500
```

Arrangement Q

The following is a PBE calculation of a relaxed Tl2SbRu crystal, from Alexandria via LeMat-Bulk.

Properties
Spin magnetization, μB per atom: 0.00

The structure in POSCAR format:
```
Tl2SbRu
1.0
2.291 -2.299 0.000
2.291 2.299 0.000
0.000 0.000 8.966
Tl Sb Ru
2 1 1
direct
0.000 0.000 0.194
0.000 0.000 0.806
0.500 0.500 0.500
0.500 0.500 0.000
```

Arrangement R

The following is a PBE calculation of a relaxed Tl2SbRu crystal, from Alexandria via LeMat-Bulk.

Properties
Spin magnetization, μB per atom: 0.00

The structure in POSCAR format:
```
Tl2SbRu
1.0
2.826 -1.888 0.000
2.826 1.888 0.000
-1.719 0.000 9.679
Tl Sb Ru
2 1 1
direct
0.000 0.000 0.000
0.529 0.529 0.289
0.924 0.924 0.667
0.235 0.235 0.500
```

In terms of stability, arrangement R leads; the second structure lies 33.6 kJ/mol of atoms higher.